# 1
Below is an optimized crystal structure of PuNpZn4, with properties calculated at the PBE-GGA level.

Properties
formation enthalpy at 0 K	-0.75	kcal/mol of atoms

abc: 7.654 7.654 7.654
angles: 90.00 90.00 90.00
Space group F-43m (No. 216)
Asymmetric unit:
Pu: 0.000 0.000 0.000 [4 per cell]
Np: 0.250 0.250 0.750 [4 per cell]
Zn: 0.125 0.125 0.375 [16 per cell]

# 2
Below is an optimized crystal structure of PuZr2Np, with properties calculated at the PBE-GGA level.

Properties
formation enthalpy at 0 K	7.04	kcal/mol of atoms

abc: 3.102 3.102 9.727
angles: 90.00 90.00 90.00
Space group P4/mmm (No. 123)
Asymmetric unit:
Pu: 0.000 0.000 0.000 [1 per cell]
Zr: 0.500 0.500 0.252 [2 per cell]
Np: 0.000 0.000 0.500 [1 per cell]

# 3
Below is an optimized crystal structure of RbNp4, with properties calculated at the PBE-GGA level.

Properties
formation enthalpy at 0 K	53.99	kcal/mol of atoms

abc: 5.381 5.381 5.381
angles: 90.00 90.00 90.00
Space group Pm-3m (No. 221)
Asymmetric unit:
Rb: 0.000 0.000 0.000 [1 per cell]
Np: 0.000 0.000 0.500 [3 per cell]
Np: 0.500 0.500 0.500 [1 per cell]

# 4
Below is an optimized crystal structure of Rb2NpRhS4, with properties calculated at the PBE-GGA level.

Properties
raw formation energy	-783	meV per atom

abc: 6.355 14.294 24.164
angles: 90.00 90.00 90.00
Space group Fddd (No. 70, origin choice 2)
Asymmetric unit:
Rb: 0.125 0.125 0.307 [16 per cell]
Np: 0.125 0.125 0.125 [8 per cell]
Rh: 0.125 0.125 0.625 [8 per cell]
S: 0.102 0.272 0.830 [32 per cell]

# 5
Below is an optimized crystal structure of RbNpRhS4, with properties calculated at the PBE-GGA level.

Properties
raw formation energy	-870	meV per atom

abc: 6.625 5.935 9.075
angles: 90.00 106.13 90.00
Space group P2_1/m (No. 11)
Asymmetric unit:
Rb: 0.248 0.250 0.449 [2 per cell]
Np: 0.251 0.250 0.954 [2 per cell]
Rh: 0.269 0.750 0.151 [2 per cell]
S: 0.042 0.750 0.304 [2 per cell]
S: 0.052 0.750 0.909 [2 per cell]
S: 0.471 0.511 0.801 [4 per cell]

# 6
Below is an optimized crystal structure of Rb4Np3RhS8, with properties calculated at the PBE-GGA level.

Properties
raw formation energy	-1148	meV per atom

abc: 7.9806 7.9806 23.0298
angles: 90.00 90.00 120.00
Space group R-3m (No. 166, hexagonal axes)
Asymmetric unit:
Rb: 0.0000 0.0000 0.0000 [3 per cell]
Rb: 0.0000 0.5000 0.0000 [9 per cell]
Np: 0.0000 0.5000 0.5000 [9 per cell]
Rh: 0.0000 0.0000 0.5000 [3 per cell]
S: 0.0000 0.0000 0.2316 [6 per cell]
S: 0.0129 0.5064 0.2282 [18 per cell]

# 7
Below is an optimized crystal structure of Rb2NpRh2S6, with properties calculated at the PBE-GGA level.

Properties
raw formation energy	-944	meV per atom

abc: 6.183 10.890 8.163
angles: 90.00 103.57 90.00
Space group C2/m (No. 12)
Asymmetric unit:
Rb: 0.000 0.161 0.000 [4 per cell]
Np: 0.000 0.000 0.500 [2 per cell]
Rh: 0.000 0.334 0.500 [4 per cell]
S: 0.188 0.500 0.677 [4 per cell]
S: 0.235 0.182 0.675 [8 per cell]

# 8
Below is an optimized crystal structure of RbNp4Rh3S12, with properties calculated at the PBE-GGA level.

Properties
raw formation energy	-817	meV per atom

abc: 9.685 9.685 9.685
angles: 90.00 90.00 90.00
Space group Im-3 (No. 204)
Asymmetric unit:
Rb: 0.000 0.000 0.000 [2 per cell]
Np: 0.250 0.250 0.250 [8 per cell]
Rh: 0.000 0.000 0.500 [6 per cell]
S: 0.000 0.165 0.322 [24 per cell]

# 9
Below is an optimized crystal structure of Rb2Np2RhSe6, with properties calculated at the PBE-GGA level.

Properties
raw formation energy	-993	meV per atom

abc: 6.984 11.825 8.612
angles: 90.00 106.16 90.00
Space group C2/m (No. 12)
Asymmetric unit:
Rb: 0.000 0.172 0.000 [4 per cell]
Np: 0.000 0.332 0.500 [4 per cell]
Rh: 0.000 0.000 0.500 [2 per cell]
Se: 0.222 0.153 0.687 [8 per cell]
Se: 0.242 0.000 0.316 [4 per cell]

# 10
Below is an optimized crystal structure of Rb3NpRh2Se6, with properties calculated at the PBE-GGA level.

Properties
raw formation energy	-821	meV per atom

abc: 6.816 11.806 8.283
angles: 90.00 106.13 90.00
Space group C2/m (No. 12)
Asymmetric unit:
Rb: 0.000 0.000 0.000 [2 per cell]
Rb: 0.000 0.340 0.000 [4 per cell]
Np: 0.000 0.500 0.500 [2 per cell]
Rh: 0.000 0.167 0.500 [4 per cell]
Se: 0.196 0.000 0.677 [4 per cell]
Se: 0.242 0.318 0.679 [8 per cell]

# 11
Below is an optimized crystal structure of Rb4Np3RuS8, with properties calculated at the PBE-GGA level.

Properties
raw formation energy	-1134	meV per atom

abc: 7.8775 7.8775 23.2164
angles: 90.00 90.00 120.00
Space group R-3m (No. 166, hexagonal axes)
Asymmetric unit:
Rb: 0.0000 0.0000 0.0000 [3 per cell]
Rb: 0.0000 0.5000 0.0000 [9 per cell]
Np: 0.0000 0.5000 0.5000 [9 per cell]
Ru: 0.0000 0.0000 0.5000 [3 per cell]
S: 0.0000 0.0000 0.2323 [6 per cell]
S: 0.0202 0.5101 0.2284 [18 per cell]

# 12
Below is an optimized crystal structure of Rb3Np3RuSe8, with properties calculated at the PBE-GGA level.

Properties
raw formation energy	-1018	meV per atom

abc: 8.0704 8.0704 24.8908
angles: 90.00 90.00 120.00
Space group R-3m (No. 166, hexagonal axes)
Asymmetric unit:
Rb: 0.0000 0.5000 0.0000 [9 per cell]
Np: 0.0000 0.5000 0.5000 [9 per cell]
Ru: 0.0000 0.0000 0.5000 [3 per cell]
Se: 0.0000 0.0000 0.2336 [6 per cell]
Se: 0.0244 0.5122 0.2278 [18 per cell]

# 13
Below is an optimized crystal structure of Rb3Np2S9, with properties calculated at the PBE-GGA level.

Properties
raw formation energy	-833	meV per atom

abc: 7.2454 7.2454 9.1079
angles: 90.00 90.00 120.00
Space group P-3m1 (No. 164)
Asymmetric unit:
Rb: 0.0000 0.0000 0.0000 [1 per cell]
Rb: 0.3333 0.6667 0.3510 [2 per cell]
Np: 0.3333 0.6667 0.8342 [2 per cell]
S: 0.0000 0.5000 0.0000 [3 per cell]
S: 0.1753 0.3507 0.6845 [6 per cell]

# 14
Below is an optimized crystal structure of Rb5NpS4, with properties calculated at the PBE-GGA level.

Properties
raw formation energy	-1017	meV per atom

abc: 19.723 4.430 8.984
angles: 90.00 98.86 90.00
Space group C2/m (No. 12)
Asymmetric unit:
Rb: 0.000 0.000 0.000 [2 per cell]
Rb: 0.153 0.500 0.818 [4 per cell]
Rb: 0.176 0.500 0.348 [4 per cell]
Np: 0.000 0.000 0.500 [2 per cell]
S: 0.008 0.500 0.297 [4 per cell]
S: 0.139 0.000 0.571 [4 per cell]

# 15
Below is an optimized crystal structure of Rb2NpS3, with properties calculated at the PBE-GGA level.

Properties
raw formation energy	-1312	meV per atom

abc: 7.381 12.760 8.097
angles: 90.00 108.14 90.00
Space group C2/m (No. 12)
Asymmetric unit:
Rb: 0.000 0.000 0.000 [2 per cell]
Rb: 0.000 0.154 0.500 [4 per cell]
Rb: 0.000 0.500 0.500 [2 per cell]
Np: 0.000 0.332 0.000 [4 per cell]
S: 0.180 0.500 0.193 [4 per cell]
S: 0.239 0.306 0.804 [8 per cell]

# 16
Below is an optimized crystal structure of Rb4Np3S10, with properties calculated at the PBE-GGA level.

Properties
raw formation energy	-1188	meV per atom

abc: 5.190 5.190 37.404
angles: 90.00 90.00 90.00
Space group I4/mmm (No. 139)
Asymmetric unit:
Rb: 0.000 0.000 0.069 [4 per cell]
Rb: 0.000 0.000 0.203 [4 per cell]
Np: 0.000 0.000 0.361 [4 per cell]
Np: 0.000 0.000 0.500 [2 per cell]
S: 0.000 0.000 0.295 [4 per cell]
S: 0.000 0.000 0.431 [4 per cell]
S: 0.000 0.500 0.000 [4 per cell]
S: 0.000 0.500 0.138 [8 per cell]

# 17
Below is an optimized crystal structure of RbNp2S4, with properties calculated at the PBE-GGA level.

Properties
ΔE to the lowest computed polymorph	47	meV/atom
raw formation energy	-1351	meV per atom

abc: 4.042 13.317 13.798
angles: 90.00 90.00 90.00
Space group Cmcm (No. 63)
Asymmetric unit:
Rb: 0.000 0.108 0.250 [4 per cell]
Np: 0.000 0.367 0.065 [8 per cell]
S: 0.000 0.000 0.000 [4 per cell]
S: 0.000 0.261 0.602 [8 per cell]
S: 0.000 0.415 0.250 [4 per cell]

# 18
Below is an optimized crystal structure of Rb3NpS3, with properties calculated at the PBE-GGA level.

Properties
raw formation energy	-1112	meV per atom

abc: 8.920 13.550 8.711
angles: 90.00 108.96 90.00
Space group C2/m (No. 12)
Asymmetric unit:
Rb: 0.000 0.178 0.000 [4 per cell]
Rb: 0.000 0.294 0.500 [4 per cell]
Rb: 0.109 0.500 0.879 [4 per cell]
Np: 0.114 0.000 0.611 [4 per cell]
S: 0.157 0.000 0.322 [4 per cell]
S: 0.221 0.357 0.224 [8 per cell]

# 19
Below is an optimized crystal structure of RbNpS4, with properties calculated at the PBE-GGA level.

Properties
raw formation energy	-933	meV per atom

abc: 14.303 7.377 7.279
angles: 90.00 95.02 90.00
Space group C2/m (No. 12)
Asymmetric unit:
Rb: 0.192 0.000 0.176 [4 per cell]
Np: 0.039 0.500 0.263 [4 per cell]
S: 0.000 0.269 0.000 [4 per cell]
S: 0.072 0.255 0.534 [8 per cell]
S: 0.209 0.500 0.241 [4 per cell]

# 20
Below is an optimized crystal structure of Rb3NpS6, with properties calculated at the PBE-GGA level.

Properties
raw formation energy	-772	meV per atom

abc: 11.288 11.288 11.288
angles: 90.00 90.00 90.00
Space group Fm-3m (No. 225)
Asymmetric unit:
Rb: 0.000 0.000 0.000 [4 per cell]
Rb: 0.250 0.250 0.250 [8 per cell]
Np: 0.000 0.000 0.500 [4 per cell]
S: 0.000 0.000 0.282 [24 per cell]